Entry 1:
# ZrMnB3 (meta-GGA SCAN, PBEsol geometry)
# * ΔE_f: 0.09 eV per formula unit
# * total magnetic moment: 0.00 μB per formula unit
data_ZrMnB3
_space_group_name_H-M_alt 'P m -3 m'
_space_group_IT_number 221
_space_group_name_Hall '-P 4 2 3'
_cell_length_a 3.7400
_cell_length_b 3.7400
_cell_length_c 3.7400
_cell_angle_alpha 90.00
_cell_angle_beta 90.00
_cell_angle_gamma 90.00
loop_
_atom_site_label
_atom_site_type_symbol
_atom_site_fract_x
_atom_site_fract_y
_atom_site_fract_z
Zr1 Zr 0.0000 0.0000 0.0000
Mn1 Mn 0.5000 0.5000 0.5000
B1 B 0.0000 0.5000 0.5000

=====

Entry 2:
# KBaSiRu2 (meta-GGA SCAN, PBEsol geometry)
# * uncorrected formation energy: 2.2078 eV per atom
# * total magnetic moment: 1.33 μB per formula unit
data_KBaSiRu2
_space_group_name_H-M_alt 'P 4/m m m'
_space_group_IT_number 123
_space_group_name_Hall '-P 4 2'
_cell_length_a 4.9738
_cell_length_b 4.9738
_cell_length_c 5.5974
_cell_angle_alpha 90.00
_cell_angle_beta 90.00
_cell_angle_gamma 90.00
loop_
_atom_site_label
_atom_site_type_symbol
_atom_site_fract_x
_atom_site_fract_y
_atom_site_fract_z
K1 K 0.0000 0.0000 0.0000
Ba1 Ba 0.0000 0.0000 0.5000
Si1 Si 0.5000 0.5000 0.0000
Ru1 Ru 0.0000 0.5000 0.5000

=====

Entry 3:
# YScBe (meta-GGA SCAN, PBEsol geometry)
# * ΔE_f: 0.80 eV per formula unit
# * total magnetic moment: 0.65 μB per formula unit
data_YScBe
_space_group_name_H-M_alt 'P 3 m 1'
_space_group_IT_number 156
_cell_length_a 3.3647
_cell_length_b 3.3647
_cell_length_c 6.7496
_cell_angle_alpha 90.00
_cell_angle_beta 90.00
_cell_angle_gamma 120.00
loop_
_space_group_symop_operation_xyz
'x,y,z'
'-y,x-y,z'
'-x+y,-x,z'
'-y,-x,z'
'-x+y,y,z'
'x,x-y,z'
loop_
_atom_site_label
_atom_site_type_symbol
_atom_site_fract_x
_atom_site_fract_y
_atom_site_fract_z
Y1 Y 0.0000 0.0000 0.0000
Sc1 Sc 0.3333 0.6667 0.4337
Be1 Be 0.6667 0.3333 0.7018

=====

Entry 4:
# Ca3Si3Ni2O12 (meta-GGA SCAN, PBEsol geometry)
# * uncorrected formation energy: -2.7223 eV per atom
# * total magnetic moment: 2.00 μB per formula unit
data_Ca3Si3Ni2O12
_space_group_name_H-M_alt 'I a -3 d'
_space_group_IT_number 230
_space_group_name_Hall '-I 4bd 2c 3'
_cell_length_a 11.9070
_cell_length_b 11.9070
_cell_length_c 11.9070
_cell_angle_alpha 90.00
_cell_angle_beta 90.00
_cell_angle_gamma 90.00
loop_
_atom_site_label
_atom_site_type_symbol
_atom_site_fract_x
_atom_site_fract_y
_atom_site_fract_z
Ca1 Ca 0.0000 0.2500 0.1250
Si1 Si 0.0000 0.2500 0.3750
Ni1 Ni 0.0000 0.0000 0.0000
O1 O 0.0378 0.0482 0.6531

=====

Entry 5:
# Zr2ZnHgOs (meta-GGA SCAN, PBEsol geometry)
# * ΔE_f: 6.53 eV per formula unit
# * total magnetic moment: 1.04 μB per formula unit
data_Zr2ZnHgOs
_space_group_name_H-M_alt 'P 4/m m m'
_space_group_IT_number 123
_space_group_name_Hall '-P 4 2'
_cell_length_a 5.1338
_cell_length_b 5.1338
_cell_length_c 4.4792
_cell_angle_alpha 90.00
_cell_angle_beta 90.00
_cell_angle_gamma 90.00
loop_
_atom_site_label
_atom_site_type_symbol
_atom_site_fract_x
_atom_site_fract_y
_atom_site_fract_z
Zr1 Zr 0.0000 0.5000 0.0000
Zn1 Zn 0.0000 0.0000 0.5000
Hg1 Hg 0.0000 0.0000 0.0000
Os1 Os 0.5000 0.5000 0.5000

=====

Entry 6:
# NaMn2Rh (meta-GGA SCAN, PBEsol geometry)
# * ΔE_f: 0.18 eV per formula unit
# * total magnetic moment: 9.06 μB per formula unit
data_NaMn2Rh
_space_group_name_H-M_alt 'F m -3 m'
_space_group_IT_number 225
_space_group_name_Hall '-F 4 2 3'
_cell_length_a 6.2384
_cell_length_b 6.2384
_cell_length_c 6.2384
_cell_angle_alpha 90.00
_cell_angle_beta 90.00
_cell_angle_gamma 90.00
loop_
_atom_site_label
_atom_site_type_symbol
_atom_site_fract_x
_atom_site_fract_y
_atom_site_fract_z
Na1 Na 0.0000 0.0000 0.0000
Mn1 Mn 0.2500 0.2500 0.2500
Rh1 Rh 0.0000 0.0000 0.5000

=====

Entry 7:
# Tb2Pr (meta-GGA SCAN, PBEsol geometry)
# * ΔE_f: 0.05 eV per formula unit
# * total magnetic moment: 0.07 μB per formula unit
data_Tb2Pr
_space_group_name_H-M_alt 'R 3 m'
_space_group_IT_number 160
_space_group_name_Hall 'R 3 -2"'
_cell_length_a 3.5562
_cell_length_b 3.5562
_cell_length_c 25.7657
_cell_angle_alpha 90.00
_cell_angle_beta 90.00
_cell_angle_gamma 120.00
loop_
_atom_site_label
_atom_site_type_symbol
_atom_site_fract_x
_atom_site_fract_y
_atom_site_fract_z
Tb1 Tb 0.0000 0.0000 0.0000
Tb2 Tb 0.0000 0.0000 0.2259
Pr1 Pr 0.0000 0.0000 0.4464

=====

Entry 8:
# CuTcPt2 (meta-GGA SCAN, PBEsol geometry)
# * ΔE_f: -1.01 eV per formula unit
# * total magnetic moment: 0.00 μB per formula unit
data_CuTcPt2
_space_group_name_H-M_alt 'P 4/m m m'
_space_group_IT_number 123
_space_group_name_Hall '-P 4 2'
_cell_length_a 2.7160
_cell_length_b 2.7160
_cell_length_c 7.4562
_cell_angle_alpha 90.00
_cell_angle_beta 90.00
_cell_angle_gamma 90.00
loop_
_atom_site_label
_atom_site_type_symbol
_atom_site_fract_x
_atom_site_fract_y
_atom_site_fract_z
Cu1 Cu 0.0000 0.0000 0.0000
Tc1 Tc 0.0000 0.0000 0.5000
Pt1 Pt 0.5000 0.5000 0.2468

=====

Entry 9:
# KGaCo2Si (meta-GGA SCAN, PBEsol geometry)
# * uncorrected formation energy: 2.2930 eV per atom
# * total magnetic moment: 3.56 μB per formula unit
data_KGaCo2Si
_space_group_name_H-M_alt 'P 4/m m m'
_space_group_IT_number 123
_space_group_name_Hall '-P 4 2'
_cell_length_a 4.3041
_cell_length_b 4.3041
_cell_length_c 5.1582
_cell_angle_alpha 90.00
_cell_angle_beta 90.00
_cell_angle_gamma 90.00
loop_
_atom_site_label
_atom_site_type_symbol
_atom_site_fract_x
_atom_site_fract_y
_atom_site_fract_z
K1 K 0.0000 0.0000 0.0000
Ga1 Ga 0.0000 0.0000 0.5000
Co1 Co 0.0000 0.5000 0.0000
Si1 Si 0.5000 0.5000 0.5000

=====

Entry 10:
# Ho2Ge2O7 (meta-GGA SCAN, PBEsol geometry)
# * uncorrected formation energy: -2.8677 eV per atom
# * total magnetic moment: 0.00 μB per formula unit
data_Ho2Ge2O7
_space_group_name_H-M_alt 'P 41 21 2'
_space_group_IT_number 92
_cell_length_a 6.7659
_cell_length_b 6.7659
_cell_length_c 12.3143
_cell_angle_alpha 90.00
_cell_angle_beta 90.00
_cell_angle_gamma 90.00
loop_
_space_group_symop_operation_xyz
'x,y,z'
'-y+1/2,x+1/2,z+1/4'
'-x,-y,z+1/2'
'y+1/2,-x+1/2,z+3/4'
'x+1/2,-y+1/2,-z+3/4'
'-y,-x,-z+1/2'
'-x+1/2,y+1/2,-z+1/4'
'y,x,-z'
loop_
_atom_site_label
_atom_site_type_symbol
_atom_site_fract_x
_atom_site_fract_y
_atom_site_fract_z
Ho1 Ho 0.1268 0.3536 0.1144
Ge1 Ge 0.1008 0.1516 0.6315
O1 O 0.0337 0.0783 0.8716
O2 O 0.0664 0.6620 0.1788
O3 O 0.1448 0.3199 0.2941
O4 O 0.1979 0.1979 0.5000

=====

Entry 11:
# BaNiAg (meta-GGA SCAN, PBEsol geometry)
# * ΔE_f: 1.06 eV per formula unit
# * total magnetic moment: 0.50 μB per formula unit
data_BaNiAg
_space_group_name_H-M_alt 'F -4 3 m'
_space_group_IT_number 216
_space_group_name_Hall 'F -4 2 3'
_cell_length_a 6.7670
_cell_length_b 6.7670
_cell_length_c 6.7670
_cell_angle_alpha 90.00
_cell_angle_beta 90.00
_cell_angle_gamma 90.00
loop_
_atom_site_label
_atom_site_type_symbol
_atom_site_fract_x
_atom_site_fract_y
_atom_site_fract_z
Ba1 Ba 0.0000 0.0000 0.0000
Ni1 Ni 0.2500 0.2500 0.7500
Ag1 Ag 0.0000 0.0000 0.5000

=====

Entry 12:
# SrSi3Cl (meta-GGA SCAN, PBEsol geometry)
# * uncorrected formation energy: 1.7724 eV per atom
# * total magnetic moment: 3.57 μB per formula unit
data_SrSi3Cl
_space_group_name_H-M_alt 'P m -3 m'
_space_group_IT_number 221
_space_group_name_Hall '-P 4 2 3'
_cell_length_a 5.6404
_cell_length_b 5.6404
_cell_length_c 5.6404
_cell_angle_alpha 90.00
_cell_angle_beta 90.00
_cell_angle_gamma 90.00
loop_
_atom_site_label
_atom_site_type_symbol
_atom_site_fract_x
_atom_site_fract_y
_atom_site_fract_z
Sr1 Sr 0.0000 0.0000 0.0000
Si1 Si 0.0000 0.0000 0.5000
Cl1 Cl 0.5000 0.5000 0.5000

=====

Entry 13:
# Ba2CeC3O9F (meta-GGA SCAN, PBEsol geometry)
# * uncorrected formation energy: -2.6135 eV per atom
# * total magnetic moment: 1.00 μB per formula unit
data_Ba2CeC3O9F
_space_group_name_H-M_alt 'P 1 21/m 1'
_space_group_IT_number 11
_cell_length_a 6.5976
_cell_length_b 5.0832
_cell_length_c 13.0301
_cell_angle_alpha 90.00
_cell_angle_beta 102.95
_cell_angle_gamma 90.00
loop_
_space_group_symop_operation_xyz
'x,y,z'
'-x,-y,-z'
'-x,y+1/2,-z'
'x,-y+1/2,z'
loop_
_atom_site_label
_atom_site_type_symbol
_atom_site_fract_x
_atom_site_fract_y
_atom_site_fract_z
Ba1 Ba 0.2146 0.2500 0.4251
Ba2 Ba 0.2747 0.2500 0.0840
Ce1 Ce 0.2273 0.2500 0.7384
C1 C 0.2128 0.7500 0.2268
C2 C 0.2540 0.7500 0.9271
C3 C 0.3322 0.7500 0.6294
O1 O 0.1181 0.5315 0.2371
O2 O 0.1349 0.7500 0.9925
O3 O 0.1909 0.7500 0.6852
O4 O 0.3214 0.5292 0.8970
O5 O 0.3912 0.7500 0.2022
O6 O 0.4026 0.5278 0.6050
F1 F 0.0178 0.7500 0.4276

=====

Entry 14:
# HoZn12 (meta-GGA SCAN, PBEsol geometry)
# * ΔE_f: -2.90 eV per formula unit
# * total magnetic moment: 0.00 μB per formula unit
data_HoZn12
_space_group_name_H-M_alt 'I 4/m m m'
_space_group_IT_number 139
_space_group_name_Hall '-I 4 2'
_cell_length_a 8.7331
_cell_length_b 8.7331
_cell_length_c 5.0296
_cell_angle_alpha 90.00
_cell_angle_beta 90.00
_cell_angle_gamma 90.00
loop_
_atom_site_label
_atom_site_type_symbol
_atom_site_fract_x
_atom_site_fract_y
_atom_site_fract_z
Ho1 Ho 0.0000 0.0000 0.0000
Zn1 Zn 0.0000 0.2154 0.5000
Zn2 Zn 0.0000 0.3538 0.0000
Zn3 Zn 0.2500 0.2500 0.2500

=====

Entry 15:
# Ca5Pb (meta-GGA SCAN, PBEsol geometry)
# * ΔE_f: -1.51 eV per formula unit
# * total magnetic moment: 0.34 μB per formula unit
data_Ca5Pb
_space_group_name_H-M_alt 'C 1 m 1'
_space_group_IT_number 8
_cell_length_a 13.7340
_cell_length_b 4.0220
_cell_length_c 8.1755
_cell_angle_alpha 90.00
_cell_angle_beta 108.23
_cell_angle_gamma 90.00
loop_
_space_group_symop_operation_xyz
'x,y,z'
'x,-y,z'
'x+1/2,y+1/2,z'
'x+1/2,-y+1/2,z'
loop_
_atom_site_label
_atom_site_type_symbol
_atom_site_fract_x
_atom_site_fract_y
_atom_site_fract_z
Ca1 Ca 0.0000 0.0000 0.0000
Ca2 Ca 0.0173 0.0000 0.4500
Ca3 Ca 0.1927 0.5000 0.8416
Ca4 Ca 0.2106 0.5000 0.2928
Ca5 Ca 0.3554 0.0000 0.6465
Pb1 Pb 0.3549 0.0000 0.1457

=====

Entry 16:
# SrLaMnNbO6 (meta-GGA SCAN, PBEsol geometry)
# * uncorrected formation energy: -3.0836 eV per atom
# * total magnetic moment: 5.00 μB per formula unit
data_SrLaMnNbO6
_space_group_name_H-M_alt 'P 1 c 1'
_space_group_IT_number 7
_cell_length_a 5.6338
_cell_length_b 5.7717
_cell_length_c 9.7633
_cell_angle_alpha 90.00
_cell_angle_beta 125.12
_cell_angle_gamma 90.00
loop_
_space_group_symop_operation_xyz
'x,y,z'
'x,-y,z+1/2'
loop_
_atom_site_label
_atom_site_type_symbol
_atom_site_fract_x
_atom_site_fract_y
_atom_site_fract_z
Sr1 Sr 0.0000 0.2128 0.0000
La1 La 0.4777 0.3029 0.4971
Mn1 Mn 0.2397 0.2440 0.7490
Nb1 Nb 0.7422 0.2441 0.2504
O1 O 0.0834 0.0537 0.2993
O2 O 0.4261 0.4537 0.2129
O3 O 0.5075 0.0454 0.7027
O4 O 0.5747 0.2799 0.0077
O5 O 0.8898 0.2249 0.4949
O6 O 0.9989 0.4776 0.7981

=====

Entry 17:
# Ru5Pt (meta-GGA SCAN, PBEsol geometry)
# * ΔE_f: -0.07 eV per formula unit
# * total magnetic moment: 0.00 μB per formula unit
data_Ru5Pt
_space_group_name_H-M_alt 'P -6 2 m'
_space_group_IT_number 189
_space_group_name_Hall 'P -6 -2'
_cell_length_a 4.6773
_cell_length_b 4.6773
_cell_length_c 4.2854
_cell_angle_alpha 90.00
_cell_angle_beta 90.00
_cell_angle_gamma 120.00
loop_
_atom_site_label
_atom_site_type_symbol
_atom_site_fract_x
_atom_site_fract_y
_atom_site_fract_z
Ru1 Ru 0.0000 0.6616 0.0000
Ru2 Ru 0.3333 0.6667 0.5000
Pt1 Pt 0.0000 0.0000 0.5000

=====

Entry 18:
# ZrSi2Rh (meta-GGA SCAN, PBEsol geometry)
# * uncorrected formation energy: -0.6067 eV per atom
# * total magnetic moment: 0.00 μB per formula unit
data_ZrSi2Rh
_space_group_name_H-M_alt 'C 1 m 1'
_space_group_IT_number 8
_cell_length_a 8.6439
_cell_length_b 3.1207
_cell_length_c 4.7428
_cell_angle_alpha 90.00
_cell_angle_beta 104.82
_cell_angle_gamma 90.00
loop_
_space_group_symop_operation_xyz
'x,y,z'
'x,-y,z'
'x+1/2,y+1/2,z'
'x+1/2,-y+1/2,z'
loop_
_atom_site_label
_atom_site_type_symbol
_atom_site_fract_x
_atom_site_fract_y
_atom_site_fract_z
Zr1 Zr 0.0000 0.0000 0.0000
Si1 Si 0.2585 0.5000 0.2701
Si2 Si 0.4975 0.0000 0.4875
Rh1 Rh 0.2307 0.0000 0.6415

=====

Entry 19:
# Zr3Zn4 (meta-GGA SCAN, PBEsol geometry)
# * ΔE_f: -1.65 eV per formula unit
# * total magnetic moment: 0.00 μB per formula unit
data_Zr3Zn4
_space_group_name_H-M_alt 'I 4/m m m'
_space_group_IT_number 139
_space_group_name_Hall '-I 4 2'
_cell_length_a 3.0055
_cell_length_b 3.0055
_cell_length_c 26.7208
_cell_angle_alpha 90.00
_cell_angle_beta 90.00
_cell_angle_gamma 90.00
loop_
_atom_site_label
_atom_site_type_symbol
_atom_site_fract_x
_atom_site_fract_y
_atom_site_fract_z
Zr1 Zr 0.0000 0.0000 0.0000
Zr2 Zr 0.0000 0.0000 0.2938
Zn1 Zn 0.0000 0.0000 0.1298
Zn2 Zn 0.0000 0.0000 0.4269

=====

Entry 20:
# CrPdF3 (meta-GGA SCAN, PBEsol geometry)
# * uncorrected formation energy: -1.0547 eV per atom
# * total magnetic moment: 4.91 μB per formula unit
data_CrPdF3
_space_group_name_H-M_alt 'P m -3 m'
_space_group_IT_number 221
_space_group_name_Hall '-P 4 2 3'
_cell_length_a 4.1805
_cell_length_b 4.1805
_cell_length_c 4.1805
_cell_angle_alpha 90.00
_cell_angle_beta 90.00
_cell_angle_gamma 90.00
loop_
_atom_site_label
_atom_site_type_symbol
_atom_site_fract_x
_atom_site_fract_y
_atom_site_fract_z
Cr1 Cr 0.0000 0.0000 0.0000
Pd1 Pd 0.5000 0.5000 0.5000
F1 F 0.0000 0.5000 0.5000